(1)
This record from the Alexandria database describes crystalline YTmTePb at its relaxed geometry. The functional is PBE.

The structure in extended XYZ format:
```
4
Lattice="-4.028 -1.739 0.200 0.171 0.109 4.388 -2.453 5.677 -0.046" Properties=species:S:1:pos:R:3 pbc="T T T"
Te -2.175 -0.299 1.814
Y -3.402 2.539 1.791
Tm -4.101 -1.120 4.108
Pb -1.300 3.459 3.885
```

- Space group: P4mm, No. 99
- Total DFT energy (no corrections): -5.36 eV per atom
- Total magnetic moment: 0.0 μB/cell

---

(2)
This record from the Alexandria database describes crystalline UTe2Pb at its relaxed geometry. The functional is PBE.

The structure in extended XYZ format:
```
4
Lattice="4.071 0.000 0.000 2.035 3.525 0.000 2.035 1.175 8.953" Properties=species:S:1:pos:R:3 pbc="T T T"
Te 2.035 1.175 6.986
Te 2.035 1.175 2.035
U 4.071 2.350 0.028
Pb 4.071 2.350 4.380
```

- Space group: R3m, No. 160
- Total DFT energy (no corrections): -5.67 eV per atom
- Total magnetic moment: 2.9 μB/cell

---

(3)
This record from the Alexandria database describes crystalline UTe2Pb at its relaxed geometry. The functional is PBE.

The structure in extended XYZ format:
```
4
Lattice="3.788 0.000 0.000 0.000 3.788 0.000 0.000 0.000 8.081" Properties=species:S:1:pos:R:3 pbc="T T T"
Te 0.000 0.000 1.770
Te 0.000 0.000 6.311
Pb 1.894 1.894 4.041
U 1.894 1.894 0.000
```

- Space group: P4/mmm, No. 123
- Total DFT energy (no corrections): -5.70 eV per atom
- Total magnetic moment: 3.2 μB/cell

---

(4)
This record from the Alexandria database describes crystalline VTe2Pb at its relaxed geometry. The functional is PBE.

The structure in extended XYZ format:
```
4
Lattice="2.062 0.000 10.030 -1.031 1.786 10.030 -1.031 -1.786 10.030" Properties=species:S:1:pos:R:3 pbc="T T T"
Te 0.000 0.000 3.297
Te 0.000 0.000 26.793
V 0.000 0.000 15.045
Pb 0.000 0.000 0.000
```

- Space group: R-3m, No. 166
- Total DFT energy (no corrections): -5.00 eV per atom
- Total magnetic moment: 0.2 μB/cell

---

(5)
This record from the Alexandria database describes crystalline VTe2Pb at its relaxed geometry. The functional is PBE.

The structure in extended XYZ format:
```
4
Lattice="1.950 0.000 11.557 -0.975 1.689 11.557 -0.975 -1.689 11.557" Properties=species:S:1:pos:R:3 pbc="T T T"
Te 0.000 0.000 2.669
Te 0.000 0.000 32.002
V 0.000 0.000 0.000
Pb 0.000 0.000 17.335
```

- Space group: R-3m, No. 166
- Total DFT energy (no corrections): -4.31 eV per atom
- Total magnetic moment: 3.4 μB/cell

---

(6)
This record from the Alexandria database describes crystalline V5Te12Pb3 at its relaxed geometry. The functional is PBE.

The structure in extended XYZ format:
```
80
Lattice="-9.180 10.948 -4.252 -4.021 -12.721 -6.650 -0.771 -1.667 14.793" Properties=species:S:1:pos:R:3 pbc="T T T"
Te -9.708 5.120 1.326
Te -9.379 7.337 8.666
Te -5.872 6.103 0.237
Te -11.418 -3.116 -5.136
Te -7.513 3.899 4.473
Te -7.056 -9.649 7.311
Te -2.780 -0.821 13.098
Te -8.215 -2.008 -0.511
Te -4.081 3.664 2.847
Te -6.916 6.209 -3.419
Te -8.627 0.377 2.678
Te -9.286 -5.515 -2.360
Te -11.209 0.705 5.751
Te -9.313 3.153 7.962
Te -8.753 -3.618 2.895
Te -6.460 -7.338 -0.582
Te -2.764 -4.144 -1.860
Te -8.951 -0.105 -4.231
Te -8.285 -6.391 5.777
Te -8.101 -9.543 3.654
Te -5.687 2.951 -1.886
Te -4.687 2.076 6.251
Te -4.425 -5.445 4.745
Te -9.548 2.005 -0.853
Te -9.891 -7.103 1.044
Te -7.200 -3.571 -5.203
Te -2.555 -0.323 9.027
Te -12.036 -1.350 -1.597
Te -4.766 -11.227 -0.696
Te -3.205 -8.735 6.215
Te -8.712 -2.332 6.938
Te -11.193 -2.618 -9.206
Te -6.773 0.131 9.094
Te -9.207 7.787 4.587
Te -5.346 -3.817 1.213
Te -5.220 0.179 0.997
Te -10.768 5.295 -2.324
Te -5.261 -1.108 -3.047
Te -4.659 -6.593 -4.071
Te -11.501 2.884 -5.426
Te -4.265 -8.560 2.565
Te -5.758 -1.431 4.402
Te -2.472 -6.324 9.317
Te -4.594 -10.776 -4.774
Te -5.021 -3.335 8.122
Te -1.696 -1.661 1.411
Te -1.937 -2.089 5.488
Te -12.276 -1.779 2.480
Pb -7.824 0.822 5.944
Pb -6.149 -4.262 -2.052
Pb -6.941 -6.477 2.664
Pb -5.245 -11.012 4.745
Pb -5.483 -6.672 7.725
Pb -8.728 7.573 -0.854
Pb -10.886 -3.962 0.238
Pb -2.828 -3.270 10.750
Pb -7.032 3.037 1.227
Pb -3.087 0.522 3.653
Pb -8.490 3.232 -3.834
Pb -11.145 -0.170 -6.859
V 0.000 0.000 0.000
V -4.590 5.474 -2.126
V -6.986 -1.720 1.946
V -9.520 5.357 3.863
V -6.601 -0.887 -5.451
V -5.910 -8.602 -5.032
V -4.453 -8.797 0.029
V -4.544 0.717 -1.408
V -2.396 -7.194 4.072
V -0.386 -0.833 7.397
V -9.688 -0.365 -1.798
V -9.449 -4.705 -4.778
V -4.285 -3.075 5.689
V -4.976 4.641 5.270
V -9.428 -4.157 5.299
V -11.124 0.379 3.218
V -8.063 5.162 8.924
V -4.524 1.265 8.669
V -2.848 -3.818 0.673
V -2.011 -6.360 -3.325
```

- Space group: Ia-3d, No. 230
- Total DFT energy (no corrections): -4.87 eV per atom
- Total magnetic moment: 27.9 μB/cell

---

Question: Which formula does entry 1 have?
Answer: YTmTePb

---

Question: total magnetic moment of number 4 (VTe2Pb)?
Answer: 0.2 μB/cell

---

Question: Which of these has the lowest total magnetic moment?
Answer: YTmTePb

---

Repeat the second record exactly.
This record from the Alexandria database describes crystalline UTe2Pb at its relaxed geometry. The functional is PBE.

The structure in extended XYZ format:
```
4
Lattice="4.071 0.000 0.000 2.035 3.525 0.000 2.035 1.175 8.953" Properties=species:S:1:pos:R:3 pbc="T T T"
Te 2.035 1.175 6.986
Te 2.035 1.175 2.035
U 4.071 2.350 0.028
Pb 4.071 2.350 4.380
```

- Space group: R3m, No. 160
- Total DFT energy (no corrections): -5.67 eV per atom
- Total magnetic moment: 2.9 μB/cell